Entry 1:
Computed, not measured: a relaxed structure of Zn2InPt at the PBE-GGA level of DFT.

The structure in extended XYZ format:
```
4
Lattice="-1.876 -4.660 2.382 4.412 -0.574 -3.334 2.346 -1.275 1.669" Properties=species:S:1:pos:R:3 pbc="T T T"
In 0.235 -2.968 2.025
Pt 3.379 -0.925 -0.833
Zn 0.000 0.000 0.000
Zn 1.268 -2.617 -0.476
```

Output
Formation energy in meV per atom: -147
Energy in eV per cell: -11.91


Entry 2:
Computed, not measured: a relaxed structure of CaSmAl2Si2 at the PBE-GGA level of DFT.

The structure in extended XYZ format:
```
6
Lattice="4.192 0.000 0.000 -2.096 3.630 0.000 0.000 0.000 8.558" Properties=species:S:1:pos:R:3 pbc="T T T"
Sm 0.000 0.000 0.000
Si 0.000 2.420 2.156
Si 2.096 1.210 6.402
Ca 0.000 0.000 4.279
Al 2.096 1.210 2.100
Al 0.000 2.420 6.458
```

Output
E_form (uncorrected) in kcal/mol of atoms: -10.955
Energy in eV per cell: -27.90


Entry 3:
Computed, not measured: a relaxed structure of Pr6Tm2In at the PBE-GGA level of DFT.

The structure in extended XYZ format:
```
18
Lattice="4.991 0.000 0.255 0.000 10.936 0.000 -0.557 0.000 10.921" Properties=species:S:1:pos:R:3 pbc="T T T"
Tm 2.307 1.781 3.808
Tm 2.127 9.155 7.369
Tm 4.523 3.687 9.396
Tm -0.090 7.249 1.781
In -0.279 0.000 5.461
In 2.495 5.468 0.128
Pr 4.903 3.761 1.958
Pr 2.304 9.229 3.885
Pr 2.310 5.386 3.748
Pr -0.469 7.175 9.218
Pr -0.094 10.854 1.840
Pr 1.943 9.094 10.968
Pr 2.491 1.843 0.208
Pr -0.274 7.311 5.380
Pr 2.129 1.707 7.291
Pr 4.707 3.625 5.796
Pr 2.123 5.551 7.429
Pr 4.527 0.083 9.336
```

Output
Energy above the lowest structure with this stoichiometry in eV per atom: 0.000
Formation energy in meV per atom: -63
Energy in eV per cell: -81.86


no.,total magnetic moment (μB per cell)
1,0.000
2,0.000
3,0.001